VASP calculation (PBE-GGA) on crystalline Rb3ScU2Se6 at its relaxed geometry.

Geometry as POSCAR:
```
Rb3ScU2Se6
1.0
7.2413 -0.0009 -0.0003
-3.6197 6.2717 -0.0003
-1.2080 -2.0916 8.0362
U Se Rb Sc
2 6 3 1
direct
0.6665 0.3335 0.0000
0.3335 0.6665 0.0000
0.6129 0.9352 0.8056
0.0648 0.3871 0.1944
0.2572 0.2572 0.8051
0.3871 0.0648 0.1944
0.7428 0.7428 0.1949
0.9352 0.6129 0.8056
0.5000 0.5000 0.5000
0.8319 0.1681 0.5000
0.1681 0.8319 0.5000
0.0000 0.0000 0.0000
```

Summary:
- Total magnetization: 0.501 μB/atom
- ΔE_f (raw): -1.3240 eV per atom
- SG: C2/m, No. 12